Record 1
Entry from the Alexandria database: a geometry-optimized TiAl2Ge2 structure (GGA-PBE).

Cell: 6.8655 6.8655 3.6305 Å, 90.00 90.00 90.00°
Fractional positions:
Al  0.8450  0.3450  0.5000
Ge  0.3524  0.8524  0.0000
Ge  0.6476  0.1476  0.0000
Al  0.6550  0.8450  0.5000
Ti  0.0000  0.0000  0.0000
Al  0.1550  0.6550  0.5000
Ge  0.1476  0.3524  0.0000
Ge  0.8524  0.6476  0.0000
Al  0.3450  0.1550  0.5000
Ti  0.5000  0.5000  0.0000

* ΔH_f (0 K): -89 meV/atom


Record 2
Entry from the Alexandria database: a geometry-optimized CoAu2Se structure (GGA-PBE).

Cell: 6.3967 6.3967 6.3967 Å, 154.07 139.65 48.59°
Fractional positions:
Se  0.6778  0.1778  0.5000
Au  0.3223  0.8223  0.5000
Au  0.9767  0.9767  0.0000
Co  0.5233  0.5233  0.0000

* raw formation energy: 0.17 eV per atom


Record 3
Entry from the Alexandria database: a geometry-optimized Pr6Ge2Pt structure (GGA-PBE).

Cell: 6.5059 8.2135 10.3173 Å, 90.00 91.00 90.00°
Fractional positions:
Pt  0.5000  0.5000  0.0000
Pt  0.0000  0.0000  0.5000
Pr  0.3619  0.5391  0.7395
Pr  0.3678  0.8197  0.4363
Pr  0.1482  0.3309  0.4421
Pr  0.8518  0.6691  0.5579
Pr  0.3518  0.8309  0.0579
Pr  0.6322  0.1803  0.5637
Pr  0.6482  0.1691  0.9421
Ge  0.4211  0.1180  0.2496
Ge  0.9211  0.3820  0.7496
Ge  0.0789  0.6180  0.2504
Pr  0.1381  0.0391  0.7605
Pr  0.1322  0.3197  0.0637
Pr  0.8619  0.9609  0.2395
Pr  0.6381  0.4609  0.2605
Ge  0.5789  0.8820  0.7504
Pr  0.8678  0.6803  0.9363

* ΔH_f (0 K): -566 meV/atom


no.,D(E_F) (states/eV/atom),DFT total energy (eV per atom)
1,0.638,-5.01
2,0.696,-4.12
3,1.274,-5.45